1.
Material: ScZnPt
Method: DFT, PBEsol
State: relaxed

## Properties
Magnetic moment: 0.000 Bohr magnetons per cell
Crystal system: orthorhombic
Symmetry: Cmcm, No. 63

Cell lengths 4.226, 5.029, 5.197 Å; angles 90.00, 90.00, 114.84 degrees
Sites, in units of the cell vectors:
Sc  0.290  0.580  0.250
Sc  0.710  0.420  0.750
Zn  0.000  0.000  0.000
Zn  0.000  0.000  0.500
Pt  0.599  0.197  0.250
Pt  0.401  0.803  0.750



2.
Material: Tc5Rh4
Method: DFT, PBEsol
State: relaxed

## Properties
Magnetic moment: 0.000 Bohr magnetons per cell
Crystal system: tetragonal
Symmetry: I4/mmm, No. 139

Cell lengths 3.811, 5.995, 5.995 Å; angles 84.20, 71.47, 71.47 degrees
Sites, in units of the cell vectors:
Rh  0.671  0.329  0.329
Rh  0.329  0.671  0.671
Rh  0.000  0.329  0.671
Rh  0.000  0.671  0.329
Tc  0.000  0.000  0.000
Tc  0.666  0.668  0.000
Tc  0.334  0.000  0.332
Tc  0.666  0.000  0.668
Tc  0.334  0.332  0.000



3.
Material: CaSe2NCl
Method: DFT, PBEsol
State: relaxed

## Properties
Magnetic moment: 5.811 Bohr magnetons per cell
Crystal system: tetragonal
ΔE_f (raw): 0.859 eV/atom
Symmetry: P4/mmm, No. 123

Cell lengths 4.559, 5.651, 5.651 Å; angles 90.00, 90.00, 90.00 degrees
Last column: magnetic moment on the atom in μB.
Sites, in units of the cell vectors:
Ca  0.000  0.000  0.000  0.03
N  0.500  0.000  0.000  1.47
Se  0.000  0.000  0.500  0.88
Se  0.000  0.500  0.000  0.88
Cl  0.500  0.500  0.500  0.50



Number 1: DFT total energy -5.98 eV per atom. Number 2: DFT total energy -9.96 eV per atom. Number 3: DFT total energy -3.21 eV per atom.